# 1
The following is a PBE calculation of crystalline ReBiRh3 at its relaxed geometry, from Alexandria.

Lattice parameters (Å, degrees): 4.7478 4.7478 4.7478 90.00 90.00 90.00
With the nearest neighbours (Å) after each atom.
Sites, in units of the cell vectors:
Re (0.0000, 0.0000, 0.0000)  6 Rh 2.37
Rh (0.0000, 0.5000, 0.0000)  2 Re 2.37
Rh (0.0000, 0.0000, 0.5000)  2 Re 2.37
Rh (0.5000, 0.0000, 0.0000)  2 Re 2.37
Bi (0.5000, 0.5000, 0.5000)  12 Rh 3.36

Computed properties:
Symmetry: Pm-3m
Distance to the lowest polymorph of the same formula in meV/atom: 0.0
Energy relative to the elements in meV per atom: 919

***

# 2
The following is a PBE calculation of crystalline RbPbCl5 at its relaxed geometry, from Alexandria.

Lattice parameters (Å, degrees): 7.8712 7.8712 10.8888 86.67 112.84 122.90
With the nearest neighbours (Å) after each atom.
Sites, in units of the cell vectors:
Rb (0.7704, 0.5204, 0.2500)  5 Cl 3.32-3.50
Rb (0.2296, 0.4796, 0.7500)  5 Cl 3.32-3.50
Pb (0.0000, 0.0000, 0.0000)  6 Cl 2.52-2.73
Pb (0.5000, 0.0000, 0.5000)  6 Cl 2.52-2.73
Cl (0.7245, 0.9069, 0.0977)  1 Pb 2.52
Cl (0.1653, 0.8944, 0.5415)  1 Pb 2.52
Cl (0.6908, 0.3732, 0.5977)  1 Pb 2.52
Cl (0.3285, 0.0785, 0.2500)  2 Pb 2.73
Cl (0.8529, 0.6237, 0.9585)  1 Pb 2.52
Cl (0.1471, 0.3763, 0.0415)  1 Pb 2.52
Cl (0.6715, 0.9215, 0.7500)  2 Pb 2.73
Cl (0.3092, 0.6268, 0.4023)  1 Pb 2.52
Cl (0.8347, 0.1056, 0.4585)  1 Pb 2.52
Cl (0.2755, 0.0931, 0.9023)  1 Pb 2.52

Computed properties:
Total DFT energy (no corrections) in Ry/atom: -0.2210
Symmetry: C2/c

***

Number 1: spin magnetization 0.00 μB/cell. Number 2: spin magnetization 0.00 μB/cell.